Below is a relaxed structure of YMg, with properties calculated at the PBE level.

Cell lengths 13.2032, 3.6382, 7.2524 Å; angles 90.00, 105.63, 90.00 degrees
Space group Cm (No. 8)
Inequivalent atoms, fractional coordinates:
Y  0.0000  0.0000  0.0000 (multiplicity 2)
Y  0.0184  0.0000  0.5189 (multiplicity 2)
Y  0.2038  0.5000  0.8637 (multiplicity 2)
Mg  0.1864  0.5000  0.3449 (multiplicity 2)
Mg  0.3419  0.0000  0.6474 (multiplicity 2)
Mg  0.3475  0.0000  0.2105 (multiplicity 2)

Calculated values
The value obtained for the calculated formation energy is -0.04 eV per atom. As for the crystal system: monoclinic.

---

Below is a relaxed structure of YMg, with properties calculated at the PBE level.

Cell lengths 6.2472, 6.2472, 6.2472 Å; angles 90.00, 90.00, 90.00 degrees
Space group Fm-3m (No. 225)
Inequivalent atoms, fractional coordinates:
Y  0.0000  0.0000  0.0000 (multiplicity 4)
Mg  0.0000  0.0000  0.5000 (multiplicity 4)

Calculated values
The value obtained for the calculated formation energy is 0.34 eV per atom. As for the crystal system: cubic.

---

Below is a relaxed structure of Y3Mg, with properties calculated at the PBE level.

Cell lengths 3.5505, 4.9006, 6.9519 Å; angles 90.00, 90.00, 90.00 degrees
Space group Pmmm (No. 47)
Inequivalent atoms, fractional coordinates:
Y  0.0000  0.0000  0.0000 (multiplicity 1)
Y  0.5000  0.5000  0.2528 (multiplicity 2)
Mg  0.0000  0.0000  0.5000 (multiplicity 1)

Calculated values
The value obtained for the calculated formation energy is 0.02 eV per atom. As for the crystal system: orthorhombic.

---

Below is a relaxed structure of YMg, with properties calculated at the PBE level.

Cell lengths 3.3487, 3.3487, 12.1642 Å; angles 90.00, 90.00, 120.00 degrees
Space group P6_3mc (No. 186)
Inequivalent atoms, fractional coordinates:
Y  0.3333  0.6667  0.0000 (multiplicity 2)
Mg  0.3333  0.6667  0.2716 (multiplicity 2)

Calculated values
The value obtained for the calculated formation energy is 0.22 eV per atom. As for the crystal system: hexagonal.

---

Below is a relaxed structure of Y8Mg, with properties calculated at the PBE level.

Cell lengths 12.1929, 12.1929, 3.8227 Å; angles 90.00, 90.00, 90.00 degrees
Space group I4/mmm (No. 139)
Inequivalent atoms, fractional coordinates:
Y  0.0000  0.3365  0.0000 (multiplicity 8)
Y  0.1588  0.1588  0.5000 (multiplicity 8)
Mg  0.0000  0.0000  0.0000 (multiplicity 2)

Calculated values
The value obtained for the calculated formation energy is 0.07 eV per atom. As for the crystal system: tetragonal. As for the distance to the lowest polymorph of the same formula: 39 meV per atom.

---

Below is a relaxed structure of Y3Mg11, with properties calculated at the PBE level.

Cell lengths 4.9755, 11.2580, 12.7394 Å; angles 90.00, 90.00, 90.00 degrees
Space group Immm (No. 71)
Inequivalent atoms, fractional coordinates:
Y  0.0000  0.0000  0.0000 (multiplicity 2)
Y  0.0000  0.0000  0.2820 (multiplicity 4)
Mg  0.0000  0.1552  0.5000 (multiplicity 4)
Mg  0.0000  0.2731  0.1451 (multiplicity 8)
Mg  0.0000  0.3724  0.3665 (multiplicity 8)
Mg  0.0000  0.5000  0.0000 (multiplicity 2)

Calculated values
The value obtained for the calculated formation energy is -0.03 eV per atom. As for the crystal system: orthorhombic.

---

Which of these has the highest calculated formation energy? number 2

---

calculated formation energy of number 6 (Y3Mg11)? -0.03 eV per atom

---

calculated formation energy of number 6 (Y3Mg11)? -0.03 eV per atom